# Ba2NbZnRu

A relaxed Ba2NbZnRu crystal (PBE-GGA, Alexandria via LeMat-Bulk).

Output
Its space group is P4/mmm. The value obtained for the spin magnetization is 0.015 μB per cell. The total DFT energy (no corrections) is -17.23 eV per cell.

Cell and atoms, written as CIF:
```
data_Ba2NbZnRu
_chemical_formula_sum 'Ba2 Nb1 Zn1 Ru1'
_cell_length_a 5.929
_cell_length_b 4.919
_cell_length_c 5.929
_cell_angle_alpha 90.00
_cell_angle_beta 90.00
_cell_angle_gamma 90.00
_space_group_name_H-M_alt 'P 1'
_space_group_IT_number 1
_space_group_name_Hall 'P 1'
loop_
_atom_site_label
_atom_site_fract_x
_atom_site_fract_y
_atom_site_fract_z
Ru1 0.500 0.500 0.500
Nb1 0.000 0.500 0.000
Ba1 0.000 0.000 0.500
Ba2 0.500 0.000 0.000
Zn1 0.000 0.000 0.000
```

# Ti2ZnNiC

A relaxed Ti2ZnNiC crystal (PBE-GGA, Alexandria via LeMat-Bulk).

Output
Its space group is P4/mmm. The value obtained for the spin magnetization is 0.000 μB per cell. The total DFT energy (no corrections) is -33.79 eV per cell.

Cell and atoms, written as CIF:
```
data_Ti2ZnNiC
_chemical_formula_sum 'Ti2 Zn1 Ni1 C1'
_cell_length_a 4.167
_cell_length_b 4.167
_cell_length_c 3.780
_cell_angle_alpha 90.00
_cell_angle_beta 90.00
_cell_angle_gamma 90.00
_space_group_name_H-M_alt 'P 1'
_space_group_IT_number 1
_space_group_name_Hall 'P 1'
loop_
_atom_site_label
_atom_site_fract_x
_atom_site_fract_y
_atom_site_fract_z
Ti1 0.500 0.000 0.000
Ni1 0.000 0.000 0.500
Ti2 0.000 0.500 0.000
Zn1 0.500 0.500 0.500
C1 0.000 0.000 0.000
```

# ErGa2Pd8

A relaxed ErGa2Pd8 crystal (PBE-GGA, Alexandria via LeMat-Bulk).

Output
Its space group is C2/m. The value obtained for the spin magnetization is 0.000 μB per cell. The total DFT energy (no corrections) is -58.25 eV per cell.

Cell and atoms, written as CIF:
```
data_ErGa2Pd8
_chemical_formula_sum 'Er1 Ga2 Pd8'
_cell_length_a 4.632
_cell_length_b 6.811
_cell_length_c 6.811
_cell_angle_alpha 114.06
_cell_angle_beta 100.95
_cell_angle_gamma 100.95
_space_group_name_H-M_alt 'P 1'
_space_group_IT_number 1
_space_group_name_Hall 'P 1'
loop_
_atom_site_label
_atom_site_fract_x
_atom_site_fract_y
_atom_site_fract_z
Pd1 0.500 0.238 0.762
Pd2 0.500 0.762 0.238
Pd3 0.105 0.080 0.323
Pd4 0.895 0.920 0.677
Pd5 0.313 0.602 0.602
Ga1 0.000 0.687 0.313
Er1 0.500 0.000 0.000
Pd6 0.895 0.677 0.920
Pd7 0.687 0.398 0.398
Pd8 0.105 0.323 0.080
Ga2 0.000 0.313 0.687
```

# Sr2SiBr

A relaxed Sr2SiBr crystal (PBE-GGA, Alexandria via LeMat-Bulk).

Output
For the polymorph energy (0 for the lowest one), the calculation gives 0.0 meV/atom. Its space group is C2/m. The value obtained for the spin magnetization is 0.000 μB per cell. Its uncorrected formation energy is -3.74 eV/f.u. The total DFT energy (no corrections) is -14.20 eV per cell.

Cell and atoms, written as CIF:
```
data_Sr2SiBr
_chemical_formula_sum 'Sr2 Si1 Br1'
_cell_length_a 4.449
_cell_length_b 4.449
_cell_length_c 8.382
_cell_angle_alpha 74.62
_cell_angle_beta 74.62
_cell_angle_gamma 59.45
_space_group_name_H-M_alt 'P 1'
_space_group_IT_number 1
_space_group_name_Hall 'P 1'
loop_
_atom_site_label
_atom_site_fract_x
_atom_site_fract_y
_atom_site_fract_z
Si1 0.250 0.250 0.250
Sr1 0.993 0.993 0.025
Br1 0.750 0.750 0.750
Sr2 0.507 0.507 0.475
```

# EuHCl

A relaxed EuHCl crystal (PBE-GGA, Alexandria via LeMat-Bulk).

Output
Its space group is I4mm. The value obtained for the spin magnetization is 7.000 μB per cell. The total DFT energy (no corrections) is -19.07 eV per cell.

Cell and atoms, written as CIF:
```
data_EuHCl
_chemical_formula_sum 'Eu1 H1 Cl1'
_cell_length_a 3.481
_cell_length_b 3.481
_cell_length_c 5.416
_cell_angle_alpha 108.74
_cell_angle_beta 108.74
_cell_angle_gamma 90.00
_space_group_name_H-M_alt 'P 1'
_space_group_IT_number 1
_space_group_name_Hall 'P 1'
loop_
_atom_site_label
_atom_site_fract_x
_atom_site_fract_y
_atom_site_fract_z
Eu1 0.707 0.707 0.413
H1 0.284 0.284 0.567
Cl1 0.010 0.010 0.020
```

# La2CuTe

A relaxed La2CuTe crystal (PBE-GGA, Alexandria via LeMat-Bulk).

Output
Its space group is P4/mmm. The value obtained for the spin magnetization is 0.000 μB per cell. Its uncorrected formation energy is -2.86 eV/f.u. The total DFT energy (no corrections) is -19.95 eV per cell.

Cell and atoms, written as CIF:
```
data_La2CuTe
_chemical_formula_sum 'La2 Cu1 Te1'
_cell_length_a 5.304
_cell_length_b 3.936
_cell_length_c 5.302
_cell_angle_alpha 90.03
_cell_angle_beta 90.00
_cell_angle_gamma 90.00
_space_group_name_H-M_alt 'P 1'
_space_group_IT_number 1
_space_group_name_Hall 'P 1'
loop_
_atom_site_label
_atom_site_fract_x
_atom_site_fract_y
_atom_site_fract_z
Te1 0.000 0.625 0.375
La1 0.000 0.125 0.875
Cu1 0.500 0.624 0.875
La2 0.500 0.125 0.375
```

# Sr2LaAl

A relaxed Sr2LaAl crystal (PBE-GGA, Alexandria via LeMat-Bulk).

Output
Its space group is I4/mmm. The value obtained for the spin magnetization is 0.000 μB per cell. The total DFT energy (no corrections) is -11.65 eV per cell.

Cell and atoms, written as CIF:
```
data_Sr2LaAl
_chemical_formula_sum 'Sr2 La1 Al1'
_cell_length_a 6.617
_cell_length_b 6.617
_cell_length_c 6.617
_cell_angle_alpha 135.03
_cell_angle_beta 135.03
_cell_angle_gamma 65.48
_space_group_name_H-M_alt 'P 1'
_space_group_IT_number 1
_space_group_name_Hall 'P 1'
loop_
_atom_site_label
_atom_site_fract_x
_atom_site_fract_y
_atom_site_fract_z
Al1 0.250 0.750 0.500
Sr1 0.500 0.500 0.000
La1 0.750 0.250 0.500
Sr2 0.000 0.000 0.000
```

# RePSN2

A relaxed RePSN2 crystal (PBE-GGA, Alexandria via LeMat-Bulk).

Output
For the polymorph energy (0 for the lowest one), the calculation gives 0.0 meV/atom. Its space group is P4/mmm. The value obtained for the spin magnetization is 0.978 μB per cell. Its uncorrected formation energy is 4.07 eV/f.u. The total DFT energy (no corrections) is -34.57 eV per cell.

Cell and atoms, written as CIF:
```
data_RePSN2
_chemical_formula_sum 'Re1 P1 S1 N2'
_cell_length_a 3.801
_cell_length_b 3.801
_cell_length_c 5.207
_cell_angle_alpha 90.00
_cell_angle_beta 90.00
_cell_angle_gamma 90.00
_space_group_name_H-M_alt 'P 1'
_space_group_IT_number 1
_space_group_name_Hall 'P 1'
loop_
_atom_site_label
_atom_site_fract_x
_atom_site_fract_y
_atom_site_fract_z
N1 0.000 0.500 0.000
S1 0.000 0.000 0.500
P1 0.500 0.500 0.500
Re1 0.000 0.000 0.000
N2 0.500 0.000 0.000
```

# Be2CdAu8

A relaxed Be2CdAu8 crystal (PBE-GGA, Alexandria via LeMat-Bulk).

Output
Its space group is C2/m. The value obtained for the spin magnetization is 0.000 μB per cell. The total DFT energy (no corrections) is -35.71 eV per cell.

Cell and atoms, written as CIF:
```
data_Be2CdAu8
_chemical_formula_sum 'Be2 Cd1 Au8'
_cell_length_a 4.482
_cell_length_b 6.790
_cell_length_c 6.790
_cell_angle_alpha 110.28
_cell_angle_beta 99.03
_cell_angle_gamma 99.03
_space_group_name_H-M_alt 'P 1'
_space_group_IT_number 1
_space_group_name_Hall 'P 1'
loop_
_atom_site_label
_atom_site_fract_x
_atom_site_fract_y
_atom_site_fract_z
Au1 0.913 0.672 0.938
Au2 0.500 0.747 0.253
Au3 0.913 0.938 0.672
Au4 0.687 0.383 0.383
Au5 0.500 0.253 0.747
Au6 0.313 0.617 0.617
Au7 0.087 0.062 0.328
Be1 0.000 0.323 0.677
Cd1 0.500 0.000 0.000
Au8 0.087 0.328 0.062
Be2 0.000 0.677 0.323
```

# Sc2CuW

A relaxed Sc2CuW crystal (PBE-GGA, Alexandria via LeMat-Bulk).

Output
For the polymorph energy (0 for the lowest one), the calculation gives 344.7 meV/atom. Its space group is F-43m. The value obtained for the spin magnetization is 0.000 μB per cell. The total DFT energy (no corrections) is -28.07 eV per cell.

Cell and atoms, written as CIF:
```
data_Sc2CuW
_chemical_formula_sum 'Sc2 Cu1 W1'
_cell_length_a 4.626
_cell_length_b 4.626
_cell_length_c 4.626
_cell_angle_alpha 60.00
_cell_angle_beta 60.00
_cell_angle_gamma 60.00
_space_group_name_H-M_alt 'P 1'
_space_group_IT_number 1
_space_group_name_Hall 'P 1'
loop_
_atom_site_label
_atom_site_fract_x
_atom_site_fract_y
_atom_site_fract_z
Sc1 0.250 0.250 0.250
Cu1 0.500 0.500 0.500
Sc2 0.000 0.000 0.000
W1 0.750 0.750 0.750
```

# CaSe2SI

A relaxed CaSe2SI crystal (PBE-GGA, Alexandria via LeMat-Bulk).

Output
Its space group is P4/mmm. The value obtained for the spin magnetization is 5.000 μB per cell. Its uncorrected formation energy is 1.40 eV/f.u. The total DFT energy (no corrections) is -13.25 eV per cell.

Cell and atoms, written as CIF:
```
data_CaSe2SI
_chemical_formula_sum 'Ca1 Se2 S1 I1'
_cell_length_a 5.680
_cell_length_b 6.110
_cell_length_c 5.680
_cell_angle_alpha 90.00
_cell_angle_beta 90.00
_cell_angle_gamma 90.00
_space_group_name_H-M_alt 'P 1'
_space_group_IT_number 1
_space_group_name_Hall 'P 1'
loop_
_atom_site_label
_atom_site_fract_x
_atom_site_fract_y
_atom_site_fract_z
Se1 0.000 0.000 0.500
S1 0.500 0.500 0.500
Se2 0.500 0.000 0.000
I1 0.000 0.500 0.000
Ca1 0.000 0.000 0.000
```

# K2NdTcO6

A relaxed K2NdTcO6 crystal (PBE-GGA, Alexandria via LeMat-Bulk).

Output
Its space group is P-3m1. The value obtained for the spin magnetization is 0.000 μB per cell. Its uncorrected formation energy is -18.25 eV/f.u. The total DFT energy (no corrections) is -65.33 eV per cell.

Cell and atoms, written as CIF:
```
data_K2NdTcO6
_chemical_formula_sum 'K2 Nd1 Tc1 O6'
_cell_length_a 5.992
_cell_length_b 6.307
_cell_length_c 6.307
_cell_angle_alpha 120.00
_cell_angle_beta 90.00
_cell_angle_gamma 90.00
_space_group_name_H-M_alt 'P 1'
_space_group_IT_number 1
_space_group_name_Hall 'P 1'
loop_
_atom_site_label
_atom_site_fract_x
_atom_site_fract_y
_atom_site_fract_z
O1 0.805 0.139 0.861
K1 0.919 0.667 0.333
K2 0.081 0.333 0.667
O2 0.195 0.861 0.722
Nd1 0.500 0.000 0.000
Tc1 0.000 0.000 0.000
O3 0.805 0.722 0.861
O4 0.195 0.861 0.139
O5 0.195 0.278 0.139
O6 0.805 0.139 0.278
```

Which formula does entry 7 have?
Sr2LaAl